1.
## Dy2CuBPt6 (GGA-PBE)

Data for a relaxed structure of Dy2CuBPt6.

abc: 5.5628 5.5628 19.9092
angles: 90.00 90.00 120.00
Space group R-3m (No. 166, hexagonal axes)
Asymmetric unit:
Dy (0.0000, 0.0000, 0.2068) x6
Cu (0.0000, 0.0000, 0.5000) x3
B (0.0000, 0.0000, 0.0000) x3
Pt (0.0069, 0.5035, 0.2664) x18

Values from the calculation:
The total DFT energy (no corrections) is -193.11 eV per cell. The calculation puts the magnetic moment at 0.0 μB/f.u.

=====

2.
## Dy2Cu2BRh4 (GGA-PBE)

Data for a relaxed structure of Dy2Cu2BRh4.

abc: 5.899 5.899 7.836
angles: 90.00 90.00 90.00
Space group I4/mmm (No. 139)
Asymmetric unit:
Dy (0.000, 0.500, 0.250) x4
Cu (0.000, 0.000, 0.230) x4
B (0.000, 0.000, 0.500) x2
Rh (0.248, 0.248, 0.000) x8

Values from the calculation:
The total DFT energy (no corrections) is -119.11 eV per cell. The calculation puts the magnetic moment at 0.0 μB/f.u.

=====

3.
## Dy2CuB2Rh5 (GGA-PBE)

Data for a relaxed structure of Dy2CuB2Rh5.

abc: 9.453 9.453 3.202
angles: 90.00 90.00 90.00
Space group P4/mbm (No. 127)
Asymmetric unit:
Dy (0.176, 0.324, 0.000) x4
Cu (0.000, 0.000, 0.000) x2
B (0.125, 0.625, 0.000) x4
Rh (0.000, 0.500, 0.500) x2
Rh (0.070, 0.781, 0.500) x8

Values from the calculation:
The total DFT energy (no corrections) is -140.18 eV per cell. The calculation puts the magnetic moment at 0.0 μB/f.u.

=====

4.
## ErCuB4 (GGA-PBE)

Data for a relaxed structure of ErCuB4.

abc: 5.895 11.471 3.500
angles: 90.00 90.00 90.00
Space group Pbam (No. 55)
Asymmetric unit:
Er (0.127, 0.151, 0.000) x4
Cu (0.135, 0.411, 0.000) x4
B (0.025, 0.693, 0.500) x4
B (0.113, 0.548, 0.500) x4
B (0.137, 0.968, 0.500) x4
B (0.213, 0.814, 0.500) x4

Values from the calculation:
The total DFT energy (no corrections) is -150.63 eV per cell. The calculation puts the magnetic moment at 0.0 μB/f.u.

=====

Copy entry 1 word for word.
## Dy2CuBPt6 (GGA-PBE)

Data for a relaxed structure of Dy2CuBPt6.

abc: 5.5628 5.5628 19.9092
angles: 90.00 90.00 120.00
Space group R-3m (No. 166, hexagonal axes)
Asymmetric unit:
Dy (0.0000, 0.0000, 0.2068) x6
Cu (0.0000, 0.0000, 0.5000) x3
B (0.0000, 0.0000, 0.0000) x3
Pt (0.0069, 0.5035, 0.2664) x18

Values from the calculation:
The total DFT energy (no corrections) is -193.11 eV per cell. The calculation puts the magnetic moment at 0.0 μB/f.u.